## one
DFT (PBE) results for a geometry-optimized Li4Ca3In4 structure.

a b c (Å): 7.0939 7.0939 7.0939
angles (deg): 109.47 109.47 109.47
With the nearest neighbours (Å) after each atom.
Sites, in units of the cell vectors:
1 Li 0.0000 0.0000 0.7698  4 In 2.55-2.83, 3 Li 2.67
2 Li 0.0000 0.7698 0.0000  4 In 2.55-2.83, 3 Li 2.67
3 Li 0.2302 0.2302 0.2302  4 In 2.55-2.83, 3 Li 2.67
4 Li 0.7698 0.0000 0.0000  4 In 2.55-2.83, 3 Li 2.67
5 Ca 0.0000 0.5000 0.5000  4 In 3.39, 4 Li 3.42
6 Ca 0.5000 0.0000 0.5000  4 In 3.39, 4 Li 3.42
7 Ca 0.5000 0.5000 0.0000  4 In 3.39, 4 Li 3.42
8 In 0.0000 0.0000 0.4110  4 Li 2.55-2.83
9 In 0.0000 0.4110 0.0000  4 Li 2.55-2.83
10 In 0.4110 0.0000 0.0000  4 Li 2.55-2.83
11 In 0.5890 0.5890 0.5890  4 Li 2.55-2.83

Results
* spin magnetization: 0.00 μB per cell


## two
DFT (PBE) results for a geometry-optimized Li4Ca3In4 structure.

a b c (Å): 3.4925 5.0201 16.0112
angles (deg): 80.99 83.80 89.89
With the nearest neighbours (Å) after each atom.
Sites, in units of the cell vectors:
1 Li 0.0933 0.0934 0.3141  3 In 2.87-2.89
2 Li 0.2395 0.7384 0.0230  4 In 2.97-3.02, 4 Li 3.14-3.15
3 Li 0.7605 0.2616 0.9770  4 In 2.97-3.02, 4 Li 3.14-3.15
4 Li 0.9067 0.9066 0.6859  3 In 2.87-2.89
5 Ca 0.3592 0.3585 0.7825  6 In 3.35-3.39, 6 Li 3.41-3.52, 2 Ca 3.49
6 Ca 0.5000 0.0000 0.5000  4 Li 3.40-3.41, 8 In 3.42-3.43, 2 Ca 3.49
7 Ca 0.6408 0.6415 0.2175  6 In 3.35-3.39, 6 Li 3.41-3.52, 2 Ca 3.49
8 In 0.0488 0.5493 0.4026  2 Li 2.87, 1 In 3.06
9 In 0.1834 0.1851 0.1301  5 Li 2.89-3.02
10 In 0.8166 0.8149 0.8699  5 Li 2.89-3.02
11 In 0.9512 0.4507 0.5974  2 Li 2.87, 1 In 3.06

Results
* spin magnetization: 0.00 μB per cell


Most stable structure, least stable structure: two, one.


## one
DFT (PBE) results for a geometry-optimized Li2CaInRh structure.

a b c (Å): 4.7560 4.7560 5.1305
angles (deg): 90.00 90.00 90.00
With the nearest neighbours (Å) after each atom.
Sites, in units of the cell vectors:
1 Li 0.0000 0.5000 0.0000  2 Rh 2.38
2 Li 0.5000 0.0000 0.0000  2 Rh 2.38
3 Ca 0.0000 0.0000 0.5000  4 In 3.36, 8 Li 3.50
4 In 0.5000 0.5000 0.5000  2 Rh 2.57
5 Rh 0.5000 0.5000 0.0000  4 Li 2.38, 2 In 2.57

Results
* spin magnetization: 0.00 μB per cell


## two
DFT (PBE) results for a geometry-optimized Li2CaInRh structure.

a b c (Å): 4.7692 4.7692 5.7063
angles (deg): 90.00 90.00 90.00
With the nearest neighbours (Å) after each atom.
Sites, in units of the cell vectors:
1 Li 0.0000 0.5000 0.0000  2 In 2.38
2 Li 0.5000 0.0000 0.0000  2 In 2.38
3 Ca 0.0000 0.0000 0.5000  2 In 2.85
4 In 0.0000 0.0000 0.0000  4 Li 2.38
5 Rh 0.5000 0.5000 0.5000  4 Ca 3.37, 8 Li 3.72

Results
* spin magnetization: 0.00 μB per cell


Most stable structure, least stable structure: one, two.


## one
DFT (PBE) results for a geometry-optimized CaMg2In2 structure.

a b c (Å): 8.5719 8.5719 3.5866
angles (deg): 90.00 90.00 90.00
With the nearest neighbours (Å) after each atom.
Sites, in units of the cell vectors:
1 Ca 0.0000 0.0000 0.0000  4 In 3.33, 2 Ca 3.59, 8 Mg 3.69
2 Ca 0.5000 0.5000 0.0000  4 In 3.33, 2 Ca 3.59, 8 Mg 3.69
3 Mg 0.1594 0.3406 0.5000  6 In 3.05-3.11
4 Mg 0.3406 0.8406 0.5000  6 In 3.05-3.11
5 Mg 0.6594 0.1594 0.5000  6 In 3.05-3.11
6 Mg 0.8406 0.6594 0.5000  6 In 3.05-3.11
7 In 0.1366 0.6366 0.0000  6 Mg 3.05-3.11, 1 In 3.31, 2 Ca 3.33
8 In 0.3634 0.1366 0.0000  6 Mg 3.05-3.11, 1 In 3.31, 2 Ca 3.33
9 In 0.6366 0.8634 0.0000  6 Mg 3.05-3.11, 1 In 3.31, 2 Ca 3.33
10 In 0.8634 0.3634 0.0000  6 Mg 3.05-3.11, 1 In 3.31, 2 Ca 3.33

Results
* spin magnetization: 0.00 μB per cell


## two
DFT (PBE) results for a geometry-optimized CaMg2In2 structure.

a b c (Å): 8.6756 8.6756 3.3718
angles (deg): 90.00 90.00 90.00
With the nearest neighbours (Å) after each atom.
Sites, in units of the cell vectors:
1 Ca 0.0000 0.0000 0.0000  2 Ca 3.37, 4 Mg 3.44, 8 In 3.62
2 Ca 0.5000 0.5000 0.0000  2 Ca 3.37, 4 Mg 3.44, 8 In 3.62
3 Mg 0.1227 0.3773 0.0000  6 In 2.99-3.13, 1 Mg 3.01
4 Mg 0.3773 0.8773 0.0000  6 In 2.99-3.13, 1 Mg 3.01
5 Mg 0.6227 0.1227 0.0000  6 In 2.99-3.13, 1 Mg 3.01
6 Mg 0.8773 0.6227 0.0000  6 In 2.99-3.13, 1 Mg 3.01
7 In 0.1760 0.6760 0.5000  6 Mg 2.99-3.13
8 In 0.3240 0.1760 0.5000  6 Mg 2.99-3.13
9 In 0.6760 0.8240 0.5000  6 Mg 2.99-3.13
10 In 0.8240 0.3240 0.5000  6 Mg 2.99-3.13

Results
* spin magnetization: 0.00 μB per cell


Most stable structure, least stable structure: two, one.


## one
DFT (PBE) results for a geometry-optimized CaMgIn6 structure.

a b c (Å): 5.5952 6.5585 11.3446
angles (deg): 90.00 90.00 90.00
With the nearest neighbours (Å) after each atom.
Sites, in units of the cell vectors:
1 Ca 0.0000 0.0000 0.0000  12 In 3.27-3.41
2 Ca 0.0000 0.5000 0.5000  12 In 3.27-3.41
3 Mg 0.5000 0.0000 0.6694  12 In 3.27-3.39
4 Mg 0.5000 0.5000 0.1694  12 In 3.27-3.39
5 In 0.0000 0.0000 0.5001  8 In 3.27-3.36, 2 Ca 3.28, 2 Mg 3.39
6 In 0.0000 0.2498 0.2502  8 In 3.27-3.37, 2 Ca 3.27-3.28, 2 Mg 3.37
7 In 0.0000 0.2502 0.7502  8 In 3.27-3.37, 2 Ca 3.27-3.28, 2 Mg 3.37
8 In 0.0000 0.5000 0.0001  8 In 3.27-3.36, 2 Ca 3.28, 2 Mg 3.39
9 In 0.0000 0.7502 0.2502  8 In 3.27-3.37, 2 Ca 3.27-3.28, 2 Mg 3.37
10 In 0.0000 0.7498 0.7502  8 In 3.27-3.37, 2 Ca 3.27-3.28, 2 Mg 3.37
11 In 0.5000 0.0000 0.1714  8 In 3.20-3.36, 2 Mg 3.28, 2 Ca 3.41
12 In 0.5000 0.2434 0.4161  8 In 3.19-3.37, 2 Mg 3.27-3.29, 2 Ca 3.40
13 In 0.5000 0.2566 0.9161  8 In 3.19-3.37, 2 Mg 3.27-3.29, 2 Ca 3.40
14 In 0.5000 0.5000 0.6714  8 In 3.20-3.36, 2 Mg 3.28, 2 Ca 3.41
15 In 0.5000 0.7434 0.9161  8 In 3.19-3.37, 2 Mg 3.27-3.29, 2 Ca 3.40
16 In 0.5000 0.7566 0.4161  8 In 3.19-3.37, 2 Mg 3.27-3.29, 2 Ca 3.40

Results
* spin magnetization: 0.00 μB per cell


## two
DFT (PBE) results for a geometry-optimized CaMgIn6 structure.

a b c (Å): 9.1278 9.5472 4.7451
angles (deg): 90.00 90.00 90.00
With the nearest neighbours (Å) after each atom.
Sites, in units of the cell vectors:
1 Ca 0.0000 0.0000 0.0000  12 In 3.30-3.36
2 Ca 0.5000 0.5000 0.0000  12 In 3.30-3.36
3 Mg 0.0000 0.5000 0.0000  12 In 3.24-3.37
4 Mg 0.5000 0.0000 0.0000  12 In 3.24-3.37
5 In 0.0000 0.2486 0.5000  8 In 3.26-3.35, 2 Ca 3.36, 2 Mg 3.37
6 In 0.0000 0.7514 0.5000  8 In 3.26-3.35, 2 Ca 3.36, 2 Mg 3.37
7 In 0.2417 0.5000 0.5000  2 Mg 3.24, 8 In 3.26-3.37, 2 Ca 3.34
8 In 0.2500 0.2500 0.0000  8 In 3.29-3.37, 2 Mg 3.30, 2 Ca 3.30
9 In 0.2500 0.7500 0.0000  8 In 3.29-3.37, 2 Mg 3.30, 2 Ca 3.30
10 In 0.2583 0.0000 0.5000  2 Mg 3.24, 8 In 3.26-3.37, 2 Ca 3.34
11 In 0.5000 0.2514 0.5000  8 In 3.26-3.35, 2 Ca 3.36, 2 Mg 3.37
12 In 0.5000 0.7486 0.5000  8 In 3.26-3.35, 2 Ca 3.36, 2 Mg 3.37
13 In 0.7417 0.0000 0.5000  2 Mg 3.24, 8 In 3.26-3.37, 2 Ca 3.34
14 In 0.7500 0.2500 0.0000  8 In 3.29-3.37, 2 Mg 3.30, 2 Ca 3.30
15 In 0.7500 0.7500 0.0000  8 In 3.29-3.37, 2 Ca 3.30, 2 Mg 3.30
16 In 0.7583 0.5000 0.5000  2 Mg 3.24, 8 In 3.26-3.37, 2 Ca 3.34

Results
* spin magnetization: 0.00 μB per cell


Most stable structure, least stable structure: two, one.


## one
DFT (PBE) results for a geometry-optimized CaIn2Mo structure.

a b c (Å): 3.3191 3.3191 29.2168
angles (deg): 90.00 90.00 120.00
With the nearest neighbours (Å) after each atom.
Sites, in units of the cell vectors:
1 Ca 0.0000 0.0000 0.0000  6 In 3.29, 6 Ca 3.32
2 Ca 0.3333 0.6667 0.6667  6 In 3.29, 6 Ca 3.32
3 Ca 0.6667 0.3333 0.3333  6 In 3.29, 6 Ca 3.32
4 In 0.0000 0.0000 0.2416  3 Mo 2.91
5 In 0.0000 0.0000 0.7584  3 Mo 2.91
6 In 0.3333 0.6667 0.4251  3 Mo 2.91
7 In 0.3333 0.6667 0.9083  3 Mo 2.91
8 In 0.6667 0.3333 0.0917  3 Mo 2.91
9 In 0.6667 0.3333 0.5749  3 Mo 2.91
10 Mo 0.0000 0.0000 0.5000  6 In 2.91
11 Mo 0.3333 0.6667 0.1667  6 In 2.91
12 Mo 0.6667 0.3333 0.8333  6 In 2.91

Results
* spin magnetization: 2.38 μB per cell


## two
DFT (PBE) results for a geometry-optimized CaIn2Mo structure.

a b c (Å): 4.6698 4.6698 20.0918
angles (deg): 90.00 90.00 90.00
With the nearest neighbours (Å) after each atom.
Sites, in units of the cell vectors:
1 Ca 0.0000 0.0000 0.0000  4 In 3.13, 4 Mo 3.30
2 Ca 0.0000 0.5000 0.2500  4 In 3.13, 4 Mo 3.30
3 Ca 0.5000 0.0000 0.7500  4 In 3.13, 4 Mo 3.30
4 Ca 0.5000 0.5000 0.5000  4 In 3.13, 4 Mo 3.30
5 In 0.1858 0.2500 0.6250  2 Mo 2.90, 2 In 2.91, 2 Ca 3.13
6 In 0.2500 0.6858 0.8750  2 Mo 2.90, 2 In 2.91, 2 Ca 3.13
7 In 0.2500 0.8142 0.3750  2 Mo 2.90, 2 In 2.91, 2 Ca 3.13
8 In 0.3142 0.2500 0.1250  2 Mo 2.90, 2 In 2.91, 2 Ca 3.13
9 In 0.6858 0.7500 0.1250  2 Mo 2.90, 2 In 2.91, 2 Ca 3.13
10 In 0.7500 0.1858 0.3750  2 Mo 2.90, 2 In 2.91, 2 Ca 3.13
11 In 0.7500 0.3142 0.8750  2 Mo 2.90, 2 In 2.91, 2 Ca 3.13
12 In 0.8142 0.7500 0.6250  2 Mo 2.90, 2 In 2.91, 2 Ca 3.13
13 Mo 0.0000 0.0000 0.5000  4 In 2.90
14 Mo 0.0000 0.5000 0.7500  4 In 2.90
15 Mo 0.5000 0.0000 0.2500  4 In 2.90
16 Mo 0.5000 0.5000 0.0000  4 In 2.90

Results
* spin magnetization: 8.72 μB per cell


Most stable structure, least stable structure: one, two.